Li2CuPt after structural relaxation. Source: the Alexandria database, functional PBE.

It has space group Cmmm (No. 65), with a = 2.865 Å, b = 4.535 Å, c = 8.527 Å, α = 90.00°, β = 90.00° and γ = 90.00°. The distinct sites, in fractional coordinates, are Li at (0.000, 0.000, 0.249), Cu at (0.000, 0.500, 0.500) and Pt at (0.000, 0.500, 0.000).

The value obtained for the total energy is -3.757 eV per atom. The calculated volume comes out at 110.8 Å³/cell. As for the formation energy: -0.266 eV/atom. For the offset from the most stable computed form, the calculation gives 115 meV/atom.


CdCo2Ru after structural relaxation. Source: the Alexandria database, functional PBE.

It has space group R-3m (No. 166, hexagonal axes), with a = 2.7232 Å, b = 2.7232 Å, c = 26.2474 Å, α = 90.00°, β = 90.00° and γ = 120.00°. The distinct sites, in fractional coordinates, are Cd at (0.0000, 0.0000, 0.0000), Co at (0.0000, 0.0000, 0.2434) and Ru at (0.0000, 0.0000, 0.5000).

The value obtained for the total energy is -5.768 eV per atom. The calculated volume comes out at 168.6 Å³/cell. As for the formation energy: 0.333 eV/atom.


Question: What is the calculated volume in the first record?
Answer: 110.8 Å³/cell